*A*
Here is crystalline CrCoAs2 at its relaxed geometry from Alexandria. Energies are from GGA-PBEsol.

space-group type	Cm (8)
total magnetic moment	0.9	μB per formula unit
density	8.38	Mg/m³

Cell lengths 3.037, 4.150, 4.473 Å; angles 102.15, 109.84, 90.00 degrees
Each line ends with the local moment (μB).
Element x y z (fractional)
Cr  0.732  0.167  0.464  0.89
Co  0.516  0.571  0.033  0.06
As  0.004  0.084  0.008  -0.04
As  0.248  0.678  0.495  -0.03



*B*
Here is crystalline CrCoAs2 at its relaxed geometry from Alexandria. Energies are from GGA-PBEsol.

space-group type	Amm2 (38)
total magnetic moment	0.0	μB per formula unit
density	7.80	Mg/m³

Cell lengths 2.900, 4.492, 4.500 Å; angles 90.00, 90.00, 108.74 degrees
Element x y z (fractional)
As  0.462  0.298  0.500
Cr  0.175  0.726  0.500
As  0.286  0.948  0.000
Co  0.577  0.528  0.000



The structure with the most favorable energy is *A*; the runner-up is 0.034 eV/atom above it.



*A*
Here is crystalline Co2HgAs at its relaxed geometry from Alexandria. Energies are from GGA-PBEsol.

space-group type	Pmm2 (25)
total magnetic moment	2.5	μB per formula unit
density	10.65	Mg/m³

Cell lengths 2.788, 3.130, 7.033 Å; angles 90.00, 90.00, 90.00 degrees
Each line ends with the local moment (μB).
Element x y z (fractional)
Hg  0.000  0.000  0.446  -0.02
Co  0.000  0.000  0.022  1.11
As  0.500  0.500  0.839  -0.03
Co  0.500  0.500  0.193  1.49



*B*
Here is crystalline Co2HgAs at its relaxed geometry from Alexandria. Energies are from GGA-PBEsol.

space-group type	I-4m2 (119)
total magnetic moment	2.2	μB per formula unit
density	11.56	Mg/m³

Cell lengths 3.675, 3.675, 4.926 Å; angles 111.91, 111.91, 90.00 degrees
Each line ends with the local moment (μB).
Element x y z (fractional)
As  0.250  0.750  0.500  -0.01
Co  0.750  0.250  0.500  1.03
Co  0.000  0.000  0.000  1.22
Hg  0.500  0.500  0.000  -0.02



The structure with the most favorable energy is *A*; the runner-up is 0.265 eV/atom above it.



*A*
Here is crystalline CoAs2Ir at its relaxed geometry from Alexandria. Energies are from GGA-PBEsol.

space-group type	Cmm2 (35)
total magnetic moment	1.2	μB per formula unit
density	10.63	Mg/m³

Cell lengths 2.768, 2.768, 9.413 Å; angles 90.00, 90.00, 119.70 degrees
Each line ends with the local moment (μB).
Element x y z (fractional)
As  0.500  0.500  0.695  -0.01
Co  0.000  0.000  0.495  1.12
Ir  0.500  0.500  0.268  0.11
As  0.000  0.000  0.042  -0.01



*B*
Here is crystalline CoAs2Ir at its relaxed geometry from Alexandria. Energies are from GGA-PBEsol.

space-group type	R-3m (166)
total magnetic moment	0.5	μB per formula unit
density	12.04	Mg/m³

Cell lengths 2.923, 2.923, 7.661 Å; angles 79.00, 79.00, 60.00 degrees
Each line ends with the local moment (μB).
Element x y z (fractional)
Co  0.500  0.500  0.500  0.50
As  0.756  0.756  0.731  0.00
As  0.244  0.244  0.269  0.00
Ir  0.000  0.000  0.000  0.00



The structure with the most favorable energy is *B*; the runner-up is 0.238 eV/atom above it.



*A*
Here is crystalline CoNiAs2 at its relaxed geometry from Alexandria. Energies are from GGA-PBEsol.

space-group type	I-42d (122)
total magnetic moment	0.0	μB per formula unit
density	6.47	Mg/m³

Cell lengths 5.488, 5.987, 5.488 Å; angles 62.72, 90.00, 117.28 degrees
Element x y z (fractional)
As  0.619  0.750  0.375
Ni  0.750  0.500  0.750
As  0.375  0.250  0.131
Co  0.250  0.500  0.250
As  0.875  0.250  0.619
As  0.131  0.750  0.875
Co  0.500  0.000  0.500
Ni  0.000  0.000  0.000



*B*
Here is crystalline CoNiAs2 at its relaxed geometry from Alexandria. Energies are from GGA-PBEsol.

space-group type	Pm (6)
total magnetic moment	0.0	μB per formula unit
density	7.75	Mg/m³

Cell lengths 3.129, 4.333, 4.532 Å; angles 90.00, 90.00, 111.13 degrees
Element x y z (fractional)
As  0.277  0.934  0.000
Ni  0.177  0.724  0.500
Co  0.574  0.529  0.000
As  0.472  0.314  0.500



The structure with the most favorable energy is *B*; the runner-up is 0.218 eV/atom above it.